Computed, not measured: a relaxed Sm2IrAu crystal at the PBE level of DFT.

Lattice parameters (Å, degrees): 7.5300 7.5300 7.5300 31.88 31.88 31.88
Element x y z (fractional)
Sm  0.0000  0.0000  0.0000
Sm  0.1896  0.1896  0.1896
Ir  0.5937  0.5937  0.5937
Au  0.4297  0.4297  0.4297

The space-group type is R3m.

Computed, not measured: a relaxed Sm3Ir2Au crystal at the PBE level of DFT.

Lattice parameters (Å, degrees): 3.5290 3.5290 10.9567 90.00 90.00 90.00
Element x y z (fractional)
Sm  0.0000  0.0000  0.0000
Sm  0.0000  0.0000  0.3139
Sm  0.0000  0.0000  0.6861
Ir  0.5000  0.5000  0.1631
Ir  0.5000  0.5000  0.8369
Au  0.5000  0.5000  0.5000

Its offset from the most stable computed form is 0 meV/atom. The space-group type is P4/mmm.

Computed, not measured: a relaxed Sm4IrAu crystal at the PBE level of DFT.

Lattice parameters (Å, degrees): 7.2117 7.0970 7.1140 90.00 93.49 90.00
Element x y z (fractional)
Sm  0.1558  0.1638  0.1819
Sm  0.1558  0.3362  0.6819
Sm  0.3251  0.6590  0.1460
Sm  0.3251  0.8410  0.6460
Sm  0.6749  0.1590  0.3540
Sm  0.6749  0.3410  0.8540
Sm  0.8442  0.6638  0.3181
Sm  0.8442  0.8362  0.8181
Ir  0.0000  0.0000  0.5000
Ir  0.0000  0.5000  0.0000
Au  0.5000  0.0000  0.0000
Au  0.5000  0.5000  0.5000

Its offset from the most stable computed form is 57 meV/atom. The space-group type is P2_1/c.

Computed, not measured: a relaxed Sm5Ir2Au2 crystal at the PBE level of DFT.

Lattice parameters (Å, degrees): 8.5534 8.5534 7.8239 90.00 90.00 53.51
Element x y z (fractional)
Sm  0.0000  0.0000  0.0000
Sm  0.0430  0.7013  0.6702
Sm  0.2013  0.5430  0.1702
Sm  0.2987  0.9570  0.6702
Sm  0.4570  0.7987  0.1702
Sm  0.5000  0.5000  0.5000
Sm  0.5430  0.2013  0.8298
Sm  0.7013  0.0430  0.3298
Sm  0.7987  0.4570  0.8298
Sm  0.9570  0.2987  0.3298
Ir  0.1294  0.8706  0.3704
Ir  0.3706  0.6294  0.8704
Ir  0.6294  0.3706  0.1296
Ir  0.8706  0.1294  0.6296
Au  0.2069  0.2069  0.0000
Au  0.2931  0.2931  0.5000
Au  0.7069  0.7069  0.5000
Au  0.7931  0.7931  0.0000

The space-group type is Cmce.

These records have calculated formation energy values of -0.6915, -0.7098, -0.5008, -0.7391 eV/atom, in the order they appear.
These records have E_tot values of -6.09, -6.57, -5.67, -6.06 eV/atom, in the order they appear.